Entry 1:
# PrNdTm2S4 (GGA-PBE, optimized geometry)
data_PrNdTm2S4
_chemical_formula_sum 'Pr1 Nd1 Tm2 S4'
_cell_length_a 6.776
_cell_length_b 3.891
_cell_length_c 7.066
_cell_angle_alpha 90.00
_cell_angle_beta 108.50
_cell_angle_gamma 90.00
_space_group_name_H-M_alt 'P 1 2/m 1'
_space_group_IT_number 10
loop_
_space_group_symop_operation_xyz
'x,y,z'
'-x,-y,-z'
'-x,y,-z'
'x,-y,z'
loop_
_atom_site_label
_atom_site_fract_x
_atom_site_fract_y
_atom_site_fract_z
Pr1 0.000 0.000 0.000
Nd1 0.500 0.500 0.000
Tm1 0.000 0.500 0.500
Tm2 0.500 0.000 0.500
S1 0.243 0.000 0.726
S2 0.260 0.500 0.275
# total magnetization: 0.000 Bohr magnetons per cell
# D(E_F): 3.22 states/eV per cell
# uncorrected formation energy: -1.989 eV per atom
# theoretical density: 7061 kg/m3
# E: -6.36 eV/atom

Entry 2:
# Pr2NdTmS5 (GGA-PBE, optimized geometry)
data_Pr2NdTmS5
_chemical_formula_sum 'Pr2 Nd1 Tm1 S5'
_cell_length_a 4.830
_cell_length_b 4.830
_cell_length_c 10.481
_cell_angle_alpha 90.00
_cell_angle_beta 90.00
_cell_angle_gamma 90.00
_space_group_name_H-M_alt 'P 4/m m m'
_space_group_IT_number 123
_space_group_name_Hall '-P 4 2'
loop_
_atom_site_label
_atom_site_fract_x
_atom_site_fract_y
_atom_site_fract_z
Pr1 0.000 0.000 0.195
Nd1 0.500 0.500 0.500
Tm1 0.500 0.500 0.000
S1 0.000 0.000 0.500
S2 0.000 0.500 0.000
S3 0.500 0.500 0.249
# total magnetization: 0.000 Bohr magnetons per cell
# D(E_F): 5.15 states/eV per cell
# uncorrected formation energy: -1.536 eV per atom
# theoretical density: 5129 kg/m3
# E: -5.92 eV/atom

Entry 3:
# PrNd4Tm3S8 (GGA-PBE, optimized geometry)
data_PrNd4Tm3S8
_chemical_formula_sum 'Pr3 Nd12 Tm9 S24'
_cell_length_a 7.9294
_cell_length_b 7.9294
_cell_length_c 19.8534
_cell_angle_alpha 90.00
_cell_angle_beta 90.00
_cell_angle_gamma 120.00
_space_group_name_H-M_alt 'R -3 m'
_space_group_IT_number 166
_space_group_name_Hall '-R 3 2"'
loop_
_atom_site_label
_atom_site_fract_x
_atom_site_fract_y
_atom_site_fract_z
Pr1 0.0000 0.0000 0.0000
Nd1 0.0000 0.0000 0.5000
Nd2 0.0000 0.5000 0.5000
Tm1 0.0000 0.5000 0.0000
S1 0.0000 0.0000 0.2575
S2 0.0116 0.5058 0.2550
# total magnetization: 0.000 Bohr magnetons per cell
# D(E_F): 20.84 states/eV per cell
# uncorrected formation energy: -1.984 eV per atom
# theoretical density: 6826 kg/m3
# E: -6.38 eV/atom

Entry 4:
# Pr3Nd4TmS8 (GGA-PBE, optimized geometry)
data_Pr3Nd4TmS8
_chemical_formula_sum 'Pr9 Nd12 Tm3 S24'
_cell_length_a 8.1250
_cell_length_b 8.1250
_cell_length_c 19.8517
_cell_angle_alpha 90.00
_cell_angle_beta 90.00
_cell_angle_gamma 120.00
_space_group_name_H-M_alt 'R -3 m'
_space_group_IT_number 166
_space_group_name_Hall '-R 3 2"'
loop_
_atom_site_label
_atom_site_fract_x
_atom_site_fract_y
_atom_site_fract_z
Pr1 0.0000 0.5000 0.0000
Nd1 0.0000 0.0000 0.5000
Nd2 0.0000 0.5000 0.5000
Tm1 0.0000 0.0000 0.0000
S1 0.0000 0.0000 0.2489
S2 0.0130 0.5065 0.7478
# total magnetization: 0.000 Bohr magnetons per cell
# D(E_F): 24.61 states/eV per cell
# uncorrected formation energy: -2.002 eV per atom
# theoretical density: 6256 kg/m3
# E: -6.43 eV/atom